# 1
AlInW2: PBEsol geometry, meta-GGA SCAN.

Cell and atoms, written as POSCAR:
```
AlInW2
1.0
2.7864 0.0000 0.0000
0.0000 4.4398 0.0000
-1.0854 0.0000 5.3390
Al In W
1 1 2
Cartesian
0.0000 0.0000 0.0000
0.8505 0.0000 2.6695
-0.1069 2.2199 4.0955
1.8079 2.2199 1.2435
```

**Formation energy**: 360 meV per atom
**Offset from the most stable computed form**: 0.008 eV per atom

=====

# 2
AlInW2: PBEsol geometry, meta-GGA SCAN.

Cell and atoms, written as POSCAR:
```
AlInW2
1.0
0.0000 3.1930 3.1930
3.1930 0.0000 3.1930
3.1930 3.1930 0.0000
Al In W
1 1 2
Cartesian
0.0000 0.0000 0.0000
4.7895 4.7895 4.7895
1.5965 1.5965 1.5965
3.1930 3.1930 3.1930
```

**Formation energy**: 352 meV per atom
**Offset from the most stable computed form**: 0.000 eV per atom

=====

Q: Number 1 is which compound?
A: AlInW2

=====

What did the second record say?
AlInW2: PBEsol geometry, meta-GGA SCAN.

Cell and atoms, written as POSCAR:
```
AlInW2
1.0
0.0000 3.1930 3.1930
3.1930 0.0000 3.1930
3.1930 3.1930 0.0000
Al In W
1 1 2
Cartesian
0.0000 0.0000 0.0000
4.7895 4.7895 4.7895
1.5965 1.5965 1.5965
3.1930 3.1930 3.1930
```

**Formation energy**: 352 meV per atom
**Offset from the most stable computed form**: 0.000 eV per atom

=====

Q: The lowest formation energy belongs to which entry?
A: number 2